Ta2RuRh, optimized geometry, DFT PBE; crystal system = monoclinic; calculated total energy = -0.3838 hartree per atom; energy of formation from the pure elements = -0.36 eV per atom; volume = 16.0 A^3/atom; M_tot = 0.0000 μB per atom
1.0
2.962 0.000 0.000
0.000 3.646 0.000
-0.045 0.000 5.944
Ta Ru Rh
2 1 1
direct
0.003 0.000 0.253
0.997 0.000 0.747
0.500 0.500 0.500
0.500 0.500 0.000